BaBNO2: relaxed, PBE.

Properties
* DOS at the Fermi energy: 3.638 states/eV per cell
* mass density: 2.5 g cm⁻³
* formation energy from raw total energies: 1.59 eV/atom

Unit cell a=4.924 b=4.924 c=5.380 alpha=90.00 beta=90.00 gamma=90.00
Space group P4/mmm (No. 123)
Symmetry-distinct sites (fractional):
Ba 0.000 0.000 0.000 [1 per cell]
B 0.500 0.500 0.500 [1 per cell]
N 0.000 0.000 0.500 [1 per cell]
O 0.000 0.500 0.000 [2 per cell]



NaPrBiAu: relaxed, PBE.

Properties
* energy of formation from the pure elements: -0.6072 eV per atom
* DOS at the Fermi energy: 2.035 states/eV per cell
* mass density: 8.6 g cm⁻³

Unit cell a=7.606 b=7.606 c=7.606 alpha=90.00 beta=90.00 gamma=90.00
Space group F-43m (No. 216)
Symmetry-distinct sites (fractional):
Na 0.000 0.000 0.000 [4 per cell]
Pr 0.000 0.000 0.500 [4 per cell]
Bi 0.250 0.250 0.750 [4 per cell]
Au 0.250 0.250 0.250 [4 per cell]



Li2Cu4Ni: relaxed, PBE.

Properties
* energy of formation from the pure elements: 0.1205 eV per atom
* DOS at the Fermi energy: 6.742 states/eV per cell
* E above lowest polymorph: 120 meV per atom
* mass density: 6.1 g cm⁻³

Unit cell a=2.464 b=17.732 c=4.080 alpha=90.00 beta=90.00 gamma=90.00
Space group Cmmm (No. 65)
Symmetry-distinct sites (fractional):
Li 0.000 0.064 0.000 [4 per cell]
Cu 0.000 0.135 0.500 [4 per cell]
Cu 0.000 0.310 0.000 [4 per cell]
Ni 0.000 0.500 0.500 [2 per cell]